1.
A relaxed structure of La2Mn2Os, computed with PBE-GGA.

Cell: 6.349 6.349 4.909 Å, 90.00 90.00 90.00°
Positions (direct):
La 0.184 0.316 0.000
La 0.316 0.816 0.000
La 0.684 0.184 0.000
La 0.816 0.684 0.000
Mn 0.119 0.619 0.500
Mn 0.381 0.119 0.500
Mn 0.619 0.881 0.500
Mn 0.881 0.381 0.500
Os 0.000 0.000 0.500
Os 0.500 0.500 0.500

Results
SG: P4/mbm, No. 127
V: 198 Å³/cell
E_form: 306 meV per atom
magnetic moment: 0.120 μB/cell



2.
A relaxed structure of SnHg2Au8, computed with PBE-GGA.

Cell: 4.129 5.612 10.213 Å, 82.44 78.89 89.67°
Positions (direct):
Sn 0.000 0.000 0.000
Hg 0.317 0.677 0.366
Hg 0.683 0.323 0.634
Au 0.095 0.429 0.816
Au 0.140 0.933 0.724
Au 0.272 0.181 0.453
Au 0.450 0.283 0.093
Au 0.550 0.717 0.907
Au 0.728 0.819 0.547
Au 0.860 0.067 0.276
Au 0.905 0.571 0.184

Results
SG: P-1, No. 2
V: 230 Å³/cell
E_form: 59 meV per atom
magnetic moment: 0.000 μB/cell



3.
A relaxed structure of Tl2CCl, computed with PBE-GGA.

Cell: 5.340 5.340 5.340 Å, 60.00 60.00 60.00°
Positions (direct):
Tl 0.250 0.250 0.250
Tl 0.750 0.750 0.750
C 0.000 0.000 0.000
Cl 0.500 0.500 0.500

Results
SG: Fm-3m, No. 225
ΔE to the lowest computed polymorph: 435 meV per atom
V: 108 Å³/cell
formation energy without anion corrections: 4.142 eV per formula unit
magnetic moment: 2.934 μB/cell



4.
A relaxed structure of La4Nd2YHo2, computed with PBE-GGA.

Cell: 8.229 8.229 8.136 Å, 107.67 107.67 36.93°
Positions (direct):
La 0.054 0.054 0.329
La 0.276 0.276 0.669
La 0.724 0.724 0.331
La 0.946 0.946 0.671
Nd 0.388 0.388 0.330
Nd 0.612 0.612 0.670
Y 0.500 0.500 0.000
Ho 0.167 0.167 0.000
Ho 0.833 0.833 0.000

Results
SG: C2/m, No. 12
V: 314 Å³/cell
E_form: 28 meV per atom
magnetic moment: 0.002 μB/cell